No. 1
VASP calculation (PBE) on an optimized crystal structure of V5H6.

Lattice parameters (Å, degrees): 2.628 4.805 6.998 110.09 100.84 89.95
Positions (direct):
V1 0.000 0.500 0.000
V2 0.710 0.710 0.420
V3 0.290 0.290 0.580
V4 0.397 0.897 0.793
V5 0.603 0.103 0.207
H1 0.500 0.752 0.000
H2 0.500 0.248 0.000
H3 0.839 0.079 0.677
H4 0.838 0.597 0.677
H5 0.161 0.921 0.323
H6 0.162 0.403 0.323

Output
The value obtained for the volume is 7.4 A^3/atom. Its space group is No. 71. The calculation puts the density at 5.32 Mg/m³. Its polymorph energy (0 for the lowest one) is 0.0000 eV per atom. Its density of states at the Fermi level is 8.2 states/eV/f.u.

=====

No. 2
VASP calculation (PBE) on an optimized crystal structure of ZrTcHg2.

Lattice parameters (Å, degrees): 5.244 5.244 5.244 132.45 132.45 69.52
Positions (direct):
Hg1 0.000 0.000 0.000
Hg2 0.250 0.750 0.500
Tc1 0.500 0.500 0.000
Zr1 0.750 0.250 0.500

Output
The value obtained for the volume is 19.3 A^3/atom. Its space group is No. 119. The calculation puts the density at 12.73 Mg/m³. Its polymorph energy (0 for the lowest one) is 0.1050 eV per atom. The value obtained for the energy of formation from the pure elements is 0.1843 eV per atom. Its density of states at the Fermi level is 3.4 states/eV/f.u.

=====

No. 3
VASP calculation (PBE) on an optimized crystal structure of DyY4Tm2.

Lattice parameters (Å, degrees): 5.928 6.666 11.681 90.00 105.39 90.00
Positions (direct):
Dy1 0.161 0.750 0.139
Dy2 0.839 0.250 0.861
Y1 0.634 0.496 0.291
Y2 0.984 0.750 0.843
Y3 0.016 0.250 0.157
Y4 0.634 0.004 0.291
Y5 0.840 0.250 0.577
Y6 0.366 0.996 0.709
Y7 0.366 0.504 0.709
Y8 0.160 0.750 0.423
Tm1 0.598 0.750 0.007
Tm2 0.402 0.250 0.993
Tm3 0.269 0.250 0.442
Tm4 0.731 0.750 0.558

Output
The value obtained for the volume is 31.8 A^3/atom. Its space group is No. 11. The calculation puts the density at 6.39 Mg/m³. Its polymorph energy (0 for the lowest one) is 0.1077 eV per atom. The value obtained for the energy of formation from the pure elements is 0.1402 eV per atom. Its density of states at the Fermi level is 12.8 states/eV/f.u.

=====

No. 4
VASP calculation (PBE) on an optimized crystal structure of SiNiP.

Lattice parameters (Å, degrees): 5.545 5.545 5.545 154.08 146.75 42.64
Positions (direct):
Ni1 0.995 0.995 0.000
P1 0.367 0.367 0.000
Si1 0.638 0.638 0.000

Output
The value obtained for the volume is 13.6 A^3/atom. Its space group is No. 44. The calculation puts the density at 4.80 Mg/m³. The value obtained for the energy is -16.42 eV per cell. Its density of states at the Fermi level is 1.7 states/eV/f.u.

=====

No. 5
VASP calculation (PBE) on an optimized crystal structure of Li4Mg2Cd.

Lattice parameters (Å, degrees): 5.970 5.970 5.803 117.68 117.68 95.56
Positions (direct):
Li1 0.747 0.846 0.000
Li2 0.154 0.253 0.000
Li3 0.272 0.320 0.592
Li4 0.680 0.728 0.408
Mg1 0.215 0.785 0.500
Mg2 0.715 0.285 0.500
Cd1 0.217 0.783 0.000

Output
The value obtained for the volume is 21.2 A^3/atom. Its space group is No. 42. The calculation puts the density at 2.11 Mg/m³. Its polymorph energy (0 for the lowest one) is 0.0069 eV per atom. The value obtained for the energy of formation from the pure elements is -0.0434 eV per atom. Its density of states at the Fermi level is 1.7 states/eV/f.u.

=====

No. 6
VASP calculation (PBE) on an optimized crystal structure of LiCa2Cu3Sn4.

Lattice parameters (Å, degrees): 4.510 4.510 10.846 90.00 90.00 90.00
Positions (direct):
Li1 0.500 0.500 0.500
Ca1 0.500 0.000 0.259
Ca2 0.000 0.500 0.741
Cu1 0.000 0.000 0.500
Cu2 0.500 0.000 0.865
Cu3 0.000 0.500 0.135
Sn1 0.500 0.500 0.000
Sn2 0.000 0.000 0.000
Sn3 0.500 0.000 0.630
Sn4 0.000 0.500 0.370

Output
The value obtained for the volume is 22.1 A^3/atom. Its space group is No. 115. The calculation puts the density at 5.67 Mg/m³. The value obtained for the energy of formation from the pure elements is -0.3152 eV per atom. Its density of states at the Fermi level is 5.2 states/eV/f.u.

=====

No. 7
VASP calculation (PBE) on an optimized crystal structure of MnFe2Br.

Lattice parameters (Å, degrees): 4.833 4.833 4.833 132.69 132.69 69.13
Positions (direct):
Br1 0.750 0.250 0.500
Fe1 0.000 0.000 0.000
Fe2 0.250 0.750 0.500
Mn1 0.500 0.500 0.000

Output
The value obtained for the volume is 15.0 A^3/atom. Its space group is No. 119. The calculation puts the density at 6.84 Mg/m³. Its polymorph energy (0 for the lowest one) is 0.3686 eV per atom. Its density of states at the Fermi level is 3.4 states/eV/f.u.

=====

No. 8
VASP calculation (PBE) on an optimized crystal structure of Tm5Au2.

Lattice parameters (Å, degrees): 6.749 6.875 8.807 95.12 112.53 90.00
Positions (direct):
Tm1 0.221 0.450 0.189
Tm2 0.033 0.050 0.811
Tm3 0.220 0.705 0.552
Tm4 0.668 0.795 0.448
Tm5 0.780 0.295 0.448
Tm6 0.332 0.205 0.552
Tm7 0.967 0.950 0.189
Tm8 0.779 0.550 0.811
Tm9 0.546 0.250 0.000
Tm10 0.454 0.750 0.000
Au1 0.169 0.446 0.778
Au2 0.391 0.054 0.222
Au3 0.831 0.554 0.222
Au4 0.609 0.946 0.778

Output
The value obtained for the volume is 26.8 A^3/atom. Its space group is No. 15. The calculation puts the density at 10.95 Mg/m³. Its polymorph energy (0 for the lowest one) is 0.0000 eV per atom. The value obtained for the energy of formation from the pure elements is -0.5280 eV per atom. Its density of states at the Fermi level is 7.8 states/eV/f.u.

=====

The spin magnetization results, record by record, are as follows: 0.00; 0.00; 0.00; 0.00; 0.00; 0.00; 9.48; 0.00 μB per formula unit.